An optimized crystal structure of CuReAs, computed with GGA-PBE.

a = 4.143 Å, b = 4.143 Å, c = 4.143 Å
α = 60.00°, β = 60.00°, γ = 60.00°
Sites, in units of the cell vectors:
Cu1 0.000 0.000 0.000
Re1 0.250 0.250 0.250
As1 0.500 0.500 0.500

Output
SG: No. 216
Formation energy: 544 meV/atom
Polymorph energy (0 for the lowest one): 218 meV/atom
Crystal system: cubic
Size of the total moment: 0.37 μB per formula unit